Material: SbOsPb2
Method: DFT, GGA-PBE
State: optimized geometry

a = 5.3994 Å, b = 5.3994 Å, c = 3.4330 Å
α = 90.00°, β = 90.00°, γ = 107.71°
Element x y z (fractional)
Sb: 0.0000 0.0000 0.0000
Os: 0.5000 0.5000 0.0000
Pb: 0.0000 0.5000 0.5000
Pb: 0.5000 0.0000 0.5000

Values from the calculation:
total energy: -0.176 hartree per atom
SG: Cmmm
energy relative to the elements, uncorrected: 910 meV/atom
Fermi-level density of states: 1.074 states/eV/atom